# 1
Compound: CaZn3Cu
Source: Alexandria via LeMat-Bulk
Functional: PBE
Structure: optimized geometry Values from VASP.

Output
Density ... 2.7 Mg/m³
D(E_F) ... 2.2 states/eV/f.u.
Relative energy among the computed polymorphs ... 1246 meV per atom
V ... 37.1 Å³/atom
ΔE_f ... 1.053 eV/atom

Quantum ESPRESSO input file:
```
&SYSTEM
  ibrav = 0, nat = 5, ntyp = 3
/
ATOMIC_SPECIES
Zn 65.41 Zn.upf
Ca 40.08 Ca.upf
Cu 63.55 Cu.upf
CELL_PARAMETERS angstrom
5.7029 0.0000 0.0000
0.0000 5.7029 0.0000
0.0000 0.0000 5.7029
ATOMIC_POSITIONS crystal
Zn 0.0000 0.5000 0.0000
Zn 0.0000 0.0000 0.5000
Zn 0.5000 0.0000 0.0000
Ca 0.0000 0.0000 0.0000
Cu 0.5000 0.5000 0.5000
```

=====

# 2
Compound: Cr2InAs2
Source: Alexandria via LeMat-Bulk
Functional: PBE
Structure: optimized geometry Values from VASP.

Output
Density ... 6.5 Mg/m³
D(E_F) ... 2.6 states/eV/f.u.
Relative energy among the computed polymorphs ... 0 meV per atom
V ... 18.8 Å³/atom
ΔE_f ... 0.060 eV/atom

Quantum ESPRESSO input file:
```
&SYSTEM
  ibrav = 0, nat = 5, ntyp = 3
/
ATOMIC_SPECIES
Cr 52.00 Cr.upf
As 74.92 As.upf
In 114.82 In.upf
CELL_PARAMETERS angstrom
4.2564 0.0000 0.0000
0.0000 4.2564 0.0000
2.1282 2.1282 5.1858
ATOMIC_POSITIONS crystal
Cr 0.7500 0.2500 0.5000
Cr 0.2500 0.7500 0.5000
As 0.3667 0.3667 0.2666
As 0.6333 0.6333 0.7334
In 0.0000 0.0000 0.0000
```

=====

# 3
Compound: BeTcPd2Pb
Source: Alexandria via LeMat-Bulk
Functional: PBE
Structure: optimized geometry Values from VASP.

Output
Density ... 10.9 Mg/m³
D(E_F) ... 2.7 states/eV/f.u.
V ... 16.1 Å³/atom
ΔE_f ... 0.140 eV/atom

Quantum ESPRESSO input file:
```
&SYSTEM
  ibrav = 0, nat = 5, ntyp = 4
/
ATOMIC_SPECIES
Pb 207.20 Pb.upf
Be 9.01 Be.upf
Tc 98.00 Tc.upf
Pd 106.42 Pd.upf
CELL_PARAMETERS angstrom
4.2771 0.0000 0.0000
0.0000 4.3931 0.0000
0.0000 0.0000 4.2771
ATOMIC_POSITIONS crystal
Pb 0.5000 0.5000 0.5000
Be 0.0000 0.0000 0.0000
Tc 0.0000 0.5000 0.0000
Pd 0.0000 0.0000 0.5000
Pd 0.5000 0.0000 0.0000
```

=====

# 4
Compound: NaHfTl
Source: Alexandria via LeMat-Bulk
Functional: PBE
Structure: optimized geometry Values from VASP.

Output
Density ... 5.8 Mg/m³
D(E_F) ... 4.0 states/eV/f.u.
Relative energy among the computed polymorphs ... 1381 meV per atom
V ... 38.7 Å³/atom
ΔE_f ... 1.370 eV/atom

Quantum ESPRESSO input file:
```
&SYSTEM
  ibrav = 0, nat = 6, ntyp = 3
/
ATOMIC_SPECIES
Na 22.99 Na.upf
Tl 204.38 Tl.upf
Hf 178.49 Hf.upf
CELL_PARAMETERS angstrom
4.2319 -2.4433 0.0000
0.0000 4.8866 0.0000
0.0000 0.0000 11.2230
ATOMIC_POSITIONS crystal
Na 0.3333 0.6667 0.2500
Na 0.6667 0.3333 0.7500
Tl 0.0000 0.0000 0.2500
Tl 0.0000 0.0000 0.7500
Hf 0.0000 0.0000 0.0000
Hf 0.0000 0.0000 0.5000
```

=====

# 5
Compound: CoNi2Mo
Source: Alexandria via LeMat-Bulk
Functional: PBE
Structure: optimized geometry Values from VASP.

Output
Density ... 8.8 Mg/m³
D(E_F) ... 6.0 states/eV/f.u.
Relative energy among the computed polymorphs ... 586 meV per atom
V ... 12.9 Å³/atom
ΔE_f ... 0.536 eV/atom

Quantum ESPRESSO input file:
```
&SYSTEM
  ibrav = 0, nat = 8, ntyp = 3
/
ATOMIC_SPECIES
Ni 58.69 Ni.upf
Mo 95.94 Mo.upf
Co 58.93 Co.upf
CELL_PARAMETERS angstrom
-2.8670 2.2670 -5.3677
-5.7590 -0.1928 2.9946
-3.9798 3.3249 -0.3983
ATOMIC_POSITIONS crystal
Ni 0.6123 0.1250 0.2500
Ni 0.1377 0.6250 0.2500
Ni 0.3750 0.3877 0.7500
Ni 0.8750 0.8623 0.7500
Mo 0.0000 0.0000 0.0000
Mo 0.7500 0.2500 0.5000
Co 0.5000 0.5000 0.0000
Co 0.2500 0.7500 0.5000
```

=====

# 6
Compound: CsRbCd2Au
Source: Alexandria via LeMat-Bulk
Functional: PBE
Structure: optimized geometry Values from VASP.

Output
Density ... 5.2 Mg/m³
D(E_F) ... 2.6 states/eV/f.u.
Relative energy among the computed polymorphs ... 49 meV per atom
V ... 41.0 Å³/atom
ΔE_f ... -0.051 eV/atom

Quantum ESPRESSO input file:
```
&SYSTEM
  ibrav = 0, nat = 5, ntyp = 4
/
ATOMIC_SPECIES
Cs 132.91 Cs.upf
Au 196.97 Au.upf
Rb 85.47 Rb.upf
Cd 112.41 Cd.upf
CELL_PARAMETERS angstrom
5.5944 0.0000 0.0000
0.0000 5.5944 0.0000
0.0000 0.0000 6.5518
ATOMIC_POSITIONS crystal
Cs 0.0000 0.0000 0.5000
Au 0.0000 0.0000 0.0000
Rb 0.5000 0.5000 0.5000
Cd 0.0000 0.5000 0.0000
Cd 0.5000 0.0000 0.0000
```

=====

# 7
Compound: Tb4Pr2NdTm
Source: Alexandria via LeMat-Bulk
Functional: PBE
Structure: optimized geometry Values from VASP.

Output
Density ... 7.5 Mg/m³
D(E_F) ... 19.7 states/eV/f.u.
V ... 33.9 Å³/atom
ΔE_f ... 0.401 eV/atom

Quantum ESPRESSO input file:
```
&SYSTEM
  ibrav = 0, nat = 16, ntyp = 4
/
ATOMIC_SPECIES
Tb 158.93 Tb.upf
Pr 140.91 Pr.upf
Nd 144.24 Nd.upf
Tm 168.93 Tm.upf
CELL_PARAMETERS angstrom
-6.5269 -6.9938 -0.0721
1.8896 -2.2678 9.0997
-0.6548 10.8092 -4.9688
ATOMIC_POSITIONS crystal
Tb 0.2421 0.7574 0.9998
Tb 0.7426 0.2579 0.5002
Tb 0.2574 0.7421 0.4998
Tb 0.7579 0.2426 0.0002
Tb 0.7488 0.7484 0.9921
Tb 0.7516 0.7512 0.5079
Tb 0.2484 0.2488 0.4921
Tb 0.2512 0.2516 0.0079
Pr 0.5000 0.0000 0.0000
Pr 0.5000 0.0000 0.5000
Pr 0.0000 0.0000 0.5000
Pr 0.5000 0.5000 0.0000
Nd 0.0000 0.5000 0.0000
Nd 0.0000 0.5000 0.5000
Tm 0.5000 0.5000 0.5000
Tm 0.0000 0.0000 0.0000
```

=====

# 8
Compound: Tb11Ho9Tm4
Source: Alexandria via LeMat-Bulk
Functional: PBE
Structure: optimized geometry Values from VASP.

Output
Density ... 8.6 Mg/m³
D(E_F) ... 31.0 states/eV/f.u.
V ... 31.4 Å³/atom
ΔE_f ... 0.051 eV/atom

Quantum ESPRESSO input file:
```
&SYSTEM
  ibrav = 0, nat = 24, ntyp = 3
/
ATOMIC_SPECIES
Tb 158.93 Tb.upf
Ho 164.93 Ho.upf
Tm 168.93 Tm.upf
CELL_PARAMETERS angstrom
3.6177 0.0000 0.0000
0.0000 13.8427 -5.9086
0.0000 0.0067 15.0510
ATOMIC_POSITIONS crystal
Tb 0.0000 0.5935 0.9557
Tb 0.0000 0.4065 0.0443
Tb 0.0000 0.9557 0.5935
Tb 0.0000 0.0443 0.4065
Tb 0.0000 0.6318 0.3682
Tb 0.0000 0.3682 0.6318
Tb 0.0000 0.8398 0.1602
Tb 0.0000 0.1602 0.8398
Tb 0.0000 0.0000 0.0000
Tb 0.0000 0.7072 0.7072
Tb 0.0000 0.2928 0.2928
Ho 0.5000 0.6308 0.1649
Ho 0.5000 0.3692 0.8351
Ho 0.5000 0.1649 0.6308
Ho 0.5000 0.8351 0.3692
Ho 0.5000 0.7855 0.9312
Ho 0.5000 0.2145 0.0688
Ho 0.5000 0.9312 0.7855
Ho 0.5000 0.0688 0.2145
Ho 0.5000 0.5000 0.5000
Tm 0.5000 0.5547 0.7572
Tm 0.5000 0.4453 0.2428
Tm 0.5000 0.7572 0.5547
Tm 0.5000 0.2428 0.4453
```

=====

# 9
Compound: Mg2TlBr
Source: Alexandria via LeMat-Bulk
Functional: PBE
Structure: optimized geometry Values from VASP.

Output
Density ... 5.0 Mg/m³
D(E_F) ... 3.3 states/eV/f.u.
Relative energy among the computed polymorphs ... 319 meV per atom
Formation energy without anion corrections ... -0.045 eV/atom
V ... 27.6 Å³/atom

Quantum ESPRESSO input file:
```
&SYSTEM
  ibrav = 0, nat = 4, ntyp = 3
/
ATOMIC_SPECIES
Tl 204.38 Tl.upf
Mg 24.30 Mg.upf
Br 79.90 Br.upf
CELL_PARAMETERS angstrom
3.1695 2.9152 3.2310
-2.0802 4.0523 2.8697
-0.4648 -0.4475 5.3448
ATOMIC_POSITIONS crystal
Tl 0.5000 0.5000 0.5000
Mg 0.2500 0.2500 0.2500
Mg 0.7500 0.7500 0.7500
Br 0.0000 0.0000 0.0000
```

=====

# 10
Compound: LiThCo2H6
Source: Alexandria via LeMat-Bulk
Functional: PBE
Structure: optimized geometry Values from VASP.

Output
Total DFT energy (no corrections) ... -46.2 eV per cell
Density ... 7.4 Mg/m³
D(E_F) ... 4.4 states/eV/f.u.
V ... 8.1 Å³/atom

Quantum ESPRESSO input file:
```
&SYSTEM
  ibrav = 0, nat = 10, ntyp = 4
/
ATOMIC_SPECIES
Li 6.94 Li.upf
Th 232.04 Th.upf
Co 58.93 Co.upf
H 1.01 H.upf
CELL_PARAMETERS angstrom
-1.9712 -2.2062 -3.2672
1.9966 -0.3974 -3.9094
2.1061 -4.9420 -0.9067
ATOMIC_POSITIONS crystal
Li 0.5000 0.5000 0.5000
Th 0.0000 0.0000 0.0000
Co 0.7971 0.7971 0.6088
Co 0.2029 0.2029 0.3912
H 0.0771 0.5691 0.7847
H 0.5691 0.0771 0.7847
H 0.4309 0.4309 0.2153
H 0.9229 0.4309 0.2153
H 0.4309 0.9229 0.2153
H 0.5691 0.5691 0.7847
```

=====

# 11
Compound: TbScO3
Source: Alexandria via LeMat-Bulk
Functional: PBE
Structure: optimized geometry Values from VASP.

Output
Density ... 6.6 Mg/m³
D(E_F) ... 0.0 states/eV/f.u.
Formation energy without anion corrections ... -3.540 eV/atom
V ... 12.6 Å³/atom

Quantum ESPRESSO input file:
```
&SYSTEM
  ibrav = 0, nat = 20, ntyp = 3
/
ATOMIC_SPECIES
Tb 158.93 Tb.upf
Sc 44.96 Sc.upf
O 16.00 O.upf
CELL_PARAMETERS angstrom
5.4784 0.0000 0.0000
0.0000 5.7660 0.0000
0.0000 0.0000 7.9832
ATOMIC_POSITIONS crystal
Tb 0.9805 0.0620 0.7500
Tb 0.4805 0.4380 0.2500
Tb 0.5195 0.5620 0.7500
Tb 0.0195 0.9380 0.2500
Sc 0.0000 0.5000 0.5000
Sc 0.5000 0.0000 0.5000
Sc 0.5000 0.0000 0.0000
Sc 0.0000 0.5000 0.0000
O 0.6921 0.3055 0.5672
O 0.1921 0.1945 0.4328
O 0.8079 0.8055 0.9328
O 0.3079 0.6945 0.0672
O 0.3079 0.6945 0.4328
O 0.8079 0.8055 0.5672
O 0.1921 0.1945 0.0672
O 0.6921 0.3055 0.9328
O 0.8717 0.5552 0.2500
O 0.3717 0.9448 0.7500
O 0.6283 0.0552 0.2500
O 0.1283 0.4448 0.7500
```